1.
{"formula": "TbHoTa2Ge2", "functional": "GGA-PBE", "state": "optimized geometry", "magnetic_moment_mub_per_fu": 1.063, "total_energy_ev_per_cell": -45.71, "space_group": "P4mm (99)", "cell": [[-2.9342, -0.7053, 2.6607], [2.7517, -0.8489, 2.8095], [0.1342, 7.5431, 2.1476]], "species": ["Ge", "Ge", "Ho", "Ta", "Ta", "Tb"], "frac_coords": [[0.0000, 0.0000, 0.2457], [0.5000, 0.5000, 0.7541], [0.0000, 0.0000, 0.6491], [0.5000, 0.0000, 0.9999], [0.0000, 0.5000, 0.9999], [0.5000, 0.5000, 0.3514]]}



2.
{"formula": "TmScTeC", "functional": "GGA-PBE", "state": "optimized geometry", "magnetic_moment_mub_per_fu": 0.003, "de_polymorph_ev_per_fu": 0.00, "total_energy_ev_per_cell": -53.23, "space_group": "P-6m2 (187)", "cell": [[-3.0873, -1.9127, 0.5565], [1.4025, 0.2806, -3.3844], [7.3086, -11.1855, 2.1011]], "species": ["C", "C", "Sc", "Sc", "Te", "Te", "Tm", "Tm"], "frac_coords": [[0.0000, 0.0000, 0.2412], [0.0000, 0.0000, 0.7588], [0.3333, 0.6667, 0.1532], [0.3333, 0.6667, 0.8468], [0.6667, 0.3333, 0.0000], [0.3333, 0.6667, 0.5000], [0.6667, 0.3333, 0.3349], [0.6667, 0.3333, 0.6651]]}



3.
{"formula": "La2PrIn3Ni2Ag", "functional": "GGA-PBE", "state": "optimized geometry", "magnetic_moment_mub_per_fu": 0.001, "total_energy_ev_per_cell": -40.89, "space_group": "Amm2 (38)", "cell": [[-2.5572, -0.5184, 3.1545], [0.0208, -7.6759, -1.2446], [5.2342, 3.2109, 4.7709]], "species": ["Ag", "In", "In", "In", "La", "La", "Ni", "Ni", "Pr"], "frac_coords": [[0.5000, 0.0011, 0.0011], [0.0000, 0.2645, 0.2645], [0.0000, 0.9972, 0.7385], [0.0000, 0.7385, 0.9972], [0.5000, 0.9993, 0.4181], [0.5000, 0.4181, 0.9993], [0.0000, 0.6670, 0.3306], [0.0000, 0.3306, 0.6670], [0.5000, 0.5838, 0.5838]]}



4.
{"formula": "LaSmCuSi3", "functional": "GGA-PBE", "state": "optimized geometry", "magnetic_moment_mub_per_fu": 0.001, "de_polymorph_ev_per_fu": 0.00, "total_energy_ev_per_cell": -68.30, "space_group": "Fmmm (69)", "cell": [[7.0863, -0.0671, 4.1994], [2.4506, -1.5623, 7.5748], [2.3969, -5.4119, 0.2923]], "species": ["Cu", "Cu", "La", "La", "Si", "Si", "Si", "Si", "Si", "Si", "Sm", "Sm"], "frac_coords": [[0.8330, 0.8330, 0.1670], [0.1670, 0.1670, 0.8330], [0.2563, 0.7437, 0.2563], [0.7437, 0.2563, 0.7437], [0.8397, 0.3311, 0.1603], [0.6700, 0.6700, 0.3300], [0.6689, 0.1603, 0.3311], [0.3311, 0.8397, 0.6689], [0.3300, 0.3300, 0.6700], [0.1603, 0.6689, 0.8397], [0.2500, 0.2500, 0.2500], [0.7500, 0.7500, 0.7500]]}



5.
{"formula": "NbCdCuAs", "functional": "GGA-PBE", "state": "optimized geometry", "magnetic_moment_mub_per_fu": 0.028, "de_polymorph_ev_per_fu": 0.00, "total_energy_ev_per_cell": -18.07, "space_group": "F-43m (216)", "cell": [[0.0000, 3.2409, 3.2409], [3.2409, 0.0000, 3.2409], [3.2409, 3.2409, 0.0000]], "species": ["As", "Cd", "Cu", "Nb"], "frac_coords": [[0.0000, 0.0000, 0.0000], [0.5000, 0.5000, 0.5000], [0.7500, 0.7500, 0.7500], [0.2500, 0.2500, 0.2500]]}



6.
{"formula": "Na2Li2ZnTeO6", "functional": "GGA-PBE", "state": "optimized geometry", "de_polymorph_ev_per_fu": 0.02, "total_energy_ev_per_cell": -59.79, "space_group": "C2 (5)", "cell": [[2.6306, -4.6039, 0.0000], [2.6306, 4.6039, 0.0000], [-1.9696, 0.0000, 5.1080]], "species": ["Li", "Li", "Na", "Na", "O", "O", "O", "O", "O", "O", "Te", "Zn"], "frac_coords": [[0.5049, 0.4951, 0.0000], [0.6646, 0.3354, 0.5000], [0.9900, 0.0100, 0.5000], [0.3467, 0.6533, 0.5000], [0.9375, 0.6004, 0.2105], [0.2495, 0.2186, 0.2190], [0.5552, 0.9277, 0.2231], [0.0723, 0.4448, 0.7769], [0.7814, 0.7505, 0.7810], [0.3996, 0.0625, 0.7895], [0.1666, 0.8334, 0.0000], [0.8318, 0.1681, 0.0000]]}



7.
{"formula": "Sc2Ta4Cu3C3", "functional": "GGA-PBE", "state": "optimized geometry", "magnetic_moment_mub_per_fu": 0.000, "total_energy_ev_per_cell": -207.15, "space_group": "C2/c (15)", "cell": [[4.7227, -2.7290, 0.0000], [4.7227, 2.7290, 0.0000], [-3.2682, 0.0000, 13.4974]], "species": ["C", "C", "C", "C", "C", "C", "Cu", "Cu", "Cu", "Cu", "Cu", "Cu", "Sc", "Sc", "Sc", "Sc", "Ta", "Ta", "Ta", "Ta", "Ta", "Ta", "Ta", "Ta"], "frac_coords": [[0.6682, 0.1635, 0.0000], [0.0000, 0.5000, 0.0000], [0.3318, 0.8365, 0.0000], [0.1635, 0.6682, 0.5000], [0.5000, 0.0000, 0.5000], [0.8365, 0.3318, 0.5000], [0.4135, 0.1027, 0.2490], [0.9274, 0.0726, 0.2500], [0.8973, 0.5865, 0.2510], [0.1027, 0.4135, 0.7490], [0.0726, 0.9274, 0.7500], [0.5865, 0.8973, 0.7510], [0.3780, 0.5384, 0.1113], [0.4616, 0.6220, 0.3887], [0.5384, 0.3780, 0.6113], [0.6220, 0.4616, 0.8887], [0.0202, 0.2040, 0.0851], [0.6951, 0.8547, 0.0852], [0.1453, 0.3049, 0.4148], [0.7960, 0.9798, 0.4149], [0.2040, 0.0202, 0.5851], [0.8547, 0.6951, 0.5852], [0.3049, 0.1453, 0.9148], [0.9798, 0.7960, 0.9149]]}



8.
{"formula": "Zn2CdGa", "functional": "GGA-PBE", "state": "optimized geometry", "total_energy_ev_per_cell": -5.92, "space_group": "F-43m (216)", "cell": [[-2.1736, 1.8367, 3.7369], [-0.1075, 4.6573, 0.6004], [-4.0324, 2.3460, -0.5466]], "species": ["Cd", "Ga", "Zn", "Zn"], "frac_coords": [[0.2500, 0.2500, 0.2500], [0.5000, 0.5000, 0.5000], [0.0000, 0.0000, 0.0000], [0.7500, 0.7500, 0.7500]]}